[1]
The following is a DFT calculation (GGA+U) of an optimized crystal structure of Mn3V2O8.

```
data_Mn3V2O8
_chemical_formula_sum 'Mn18 V12 O48'
_cell_length_a 7.110
_cell_length_b 7.110
_cell_length_c 19.946
_cell_angle_alpha 90.00
_cell_angle_beta 90.00
_cell_angle_gamma 90.00
_space_group_name_H-M_alt 'I -4'
_space_group_IT_number 82
loop_
_space_group_symop_operation_xyz
'x,y,z'
'y,-x,-z'
'-x,-y,z'
'-y,x,-z'
'x+1/2,y+1/2,z+1/2'
'y+1/2,-x+1/2,-z+1/2'
'-x+1/2,-y+1/2,z+1/2'
'-y+1/2,x+1/2,-z+1/2'
loop_
_atom_site_label
_atom_site_type_symbol
_atom_site_fract_x
_atom_site_fract_y
_atom_site_fract_z
Mn1 Mn 0.000 0.000 0.000
Mn2 Mn 0.000 0.000 0.272
Mn3 Mn 0.000 0.500 0.524
Mn4 Mn 0.240 0.755 0.626
V1 V 0.000 0.000 0.500
V2 V 0.000 0.500 0.750
V3 V 0.153 0.247 0.124
O1 O 0.002 0.724 0.053
O2 O 0.002 0.803 0.188
O3 O 0.041 0.726 0.900
O4 O 0.049 0.706 0.705
O5 O 0.050 0.776 0.354
O6 O 0.055 0.795 0.545
```

Total magnetic moment in μB per cell: 90.00
V in Å³/cell: 1008.21
Total DFT energy (no corrections) in Ry/atom: -0.5709
Energy above the most stable polymorph in this dataset in meV per atom: 8



[2]
The following is a DFT calculation (GGA+U) of an optimized crystal structure of MnVO3.

```
data_MnVO3
_chemical_formula_sum 'Mn4 V4 O12'
_cell_length_a 7.582
_cell_length_b 2.992
_cell_length_c 10.074
_cell_angle_alpha 90.00
_cell_angle_beta 90.00
_cell_angle_gamma 90.00
_space_group_name_H-M_alt 'P n m a'
_space_group_IT_number 62
loop_
_space_group_symop_operation_xyz
'x,y,z'
'-x,-y,-z'
'-x+1/2,-y,z+1/2'
'x+1/2,y,-z+1/2'
'x+1/2,-y+1/2,-z+1/2'
'-x+1/2,y+1/2,z+1/2'
'-x,y+1/2,-z'
'x,-y+1/2,z'
loop_
_atom_site_label
_atom_site_type_symbol
_atom_site_fract_x
_atom_site_fract_y
_atom_site_fract_z
Mn1 Mn 0.032 0.250 0.188
V1 V 0.184 0.750 0.485
O1 O 0.043 0.250 0.398
O2 O 0.149 0.250 0.861
O3 O 0.215 0.750 0.093
```

Total magnetic moment in μB per cell: 24.00
V in Å³/cell: 228.54
Total DFT energy (no corrections) in Ry/atom: -0.5731



[3]
The following is a DFT calculation (GGA+U) of an optimized crystal structure of Mn2VO4.

```
data_Mn2VO4
_chemical_formula_sum 'Mn4 V2 O8'
_cell_length_a 5.327
_cell_length_b 9.471
_cell_length_c 3.059
_cell_angle_alpha 90.00
_cell_angle_beta 90.00
_cell_angle_gamma 90.00
_space_group_name_H-M_alt 'C m m m'
_space_group_IT_number 65
_space_group_name_Hall '-C 2 2'
loop_
_atom_site_label
_atom_site_type_symbol
_atom_site_fract_x
_atom_site_fract_y
_atom_site_fract_z
Mn1 Mn 0.000 0.174 0.000
V1 V 0.000 0.500 0.500
O1 O 0.242 0.500 0.000
O2 O 0.250 0.250 0.500
```

Total magnetic moment in μB per cell: 22.00
V in Å³/cell: 154.32
Total DFT energy (no corrections) in Ry/atom: -0.5582
Energy above the most stable polymorph in this dataset in meV per atom: 217



[4]
The following is a DFT calculation (GGA+U) of an optimized crystal structure of MnVO4.

```
data_MnVO4
_chemical_formula_sum 'Mn4 V4 O16'
_cell_length_a 5.672
_cell_length_b 8.324
_cell_length_c 6.465
_cell_angle_alpha 90.00
_cell_angle_beta 90.00
_cell_angle_gamma 90.00
_space_group_name_H-M_alt 'C m c m'
_space_group_IT_number 63
_space_group_name_Hall '-C 2c 2'
loop_
_atom_site_label
_atom_site_type_symbol
_atom_site_fract_x
_atom_site_fract_y
_atom_site_fract_z
Mn1 Mn 0.000 0.000 0.000
V1 V 0.000 0.351 0.250
O1 O 0.000 0.227 0.038
O2 O 0.242 0.028 0.750
```

Total magnetic moment in μB per cell: 16.00
V in Å³/cell: 305.25
Total DFT energy (no corrections) in Ry/atom: -0.5513



[5]
The following is a DFT calculation (GGA+U) of an optimized crystal structure of MnVO3.

```
data_MnVO3
_chemical_formula_sum 'Mn4 V4 O12'
_cell_length_a 5.369
_cell_length_b 7.592
_cell_length_c 5.147
_cell_angle_alpha 90.00
_cell_angle_beta 90.00
_cell_angle_gamma 90.00
_space_group_name_H-M_alt 'P n m a'
_space_group_IT_number 62
loop_
_space_group_symop_operation_xyz
'x,y,z'
'-x,-y,-z'
'-x+1/2,-y,z+1/2'
'x+1/2,y,-z+1/2'
'x+1/2,-y+1/2,-z+1/2'
'-x+1/2,y+1/2,z+1/2'
'-x,y+1/2,-z'
'x,-y+1/2,z'
loop_
_atom_site_label
_atom_site_type_symbol
_atom_site_fract_x
_atom_site_fract_y
_atom_site_fract_z
Mn1 Mn 0.052 0.250 0.007
V1 V 0.000 0.000 0.500
O1 O 0.052 0.750 0.390
O2 O 0.187 0.556 0.803
```

Total magnetic moment in μB per cell: 16.00
V in Å³/cell: 209.78
Total DFT energy (no corrections) in Ry/atom: -0.5736



[6]
The following is a DFT calculation (GGA+U) of an optimized crystal structure of Mn3V2O10.

```
data_Mn3V2O10
_chemical_formula_sum 'Mn3 V2 O10'
_cell_length_a 5.031
_cell_length_b 5.545
_cell_length_c 7.728
_cell_angle_alpha 70.25
_cell_angle_beta 73.27
_cell_angle_gamma 76.62
_space_group_name_H-M_alt 'P -1'
_space_group_IT_number 2
loop_
_space_group_symop_operation_xyz
'x,y,z'
'-x,-y,-z'
loop_
_atom_site_label
_atom_site_type_symbol
_atom_site_fract_x
_atom_site_fract_y
_atom_site_fract_z
Mn1 Mn 0.000 0.000 0.000
Mn2 Mn 0.304 0.484 0.901
V1 V 0.101 0.458 0.325
O1 O 0.057 0.298 0.146
O2 O 0.077 0.712 0.457
O3 O 0.196 0.283 0.785
O4 O 0.338 0.705 0.045
O5 O 0.455 0.333 0.320
```

Total magnetic moment in μB per cell: 11.00
V in Å³/cell: 192.13
Total DFT energy (no corrections) in Ry/atom: -0.5400



[7]
The following is a DFT calculation (GGA+U) of an optimized crystal structure of MnVO4.

```
data_MnVO4
_chemical_formula_sum 'Mn4 V4 O16'
_cell_length_a 11.754
_cell_length_b 3.754
_cell_length_c 7.099
_cell_angle_alpha 90.00
_cell_angle_beta 105.90
_cell_angle_gamma 90.00
_space_group_name_H-M_alt 'C 1 2/m 1'
_space_group_IT_number 12
loop_
_space_group_symop_operation_xyz
'x,y,z'
'-x,-y,-z'
'-x,y,-z'
'x,-y,z'
'x+1/2,y+1/2,z'
'-x+1/2,-y+1/2,-z'
'-x+1/2,y+1/2,-z'
'x+1/2,-y+1/2,z'
loop_
_atom_site_label
_atom_site_type_symbol
_atom_site_fract_x
_atom_site_fract_y
_atom_site_fract_z
Mn1 Mn 0.204 0.000 0.300
V1 V 0.103 0.000 0.744
O1 O 0.050 0.000 0.346
O2 O 0.131 0.500 0.703
O3 O 0.133 0.000 0.986
O4 O 0.242 0.500 0.336
```

Total magnetic moment in μB per cell: 16.00
V in Å³/cell: 301.25
Total DFT energy (no corrections) in Ry/atom: -0.5520



[8]
The following is a DFT calculation (GGA+U) of an optimized crystal structure of MnV5O12.

```
data_MnV5O12
_chemical_formula_sum 'Mn2 V10 O24'
_cell_length_a 10.241
_cell_length_b 9.270
_cell_length_c 5.920
_cell_angle_alpha 90.00
_cell_angle_beta 110.60
_cell_angle_gamma 90.00
_space_group_name_H-M_alt 'C 1 2 1'
_space_group_IT_number 5
loop_
_space_group_symop_operation_xyz
'x,y,z'
'-x,y,-z'
'x+1/2,y+1/2,z'
'-x+1/2,y+1/2,-z'
loop_
_atom_site_label
_atom_site_type_symbol
_atom_site_fract_x
_atom_site_fract_y
_atom_site_fract_z
Mn1 Mn 0.000 0.000 0.000
V1 V 0.000 0.822 0.500
V2 V 0.201 0.498 0.490
V3 V 0.204 0.322 0.997
O1 O 0.117 0.838 0.876
O2 O 0.119 0.986 0.400
O3 O 0.136 0.419 0.194
O4 O 0.141 0.669 0.475
O5 O 0.143 0.397 0.698
O6 O 0.152 0.149 0.984
```

Total magnetic moment in μB per cell: 16.00
V in Å³/cell: 526.09
Total DFT energy (no corrections) in Ry/atom: -0.5635



[9]
The following is a DFT calculation (GGA+U) of an optimized crystal structure of Mn5VO8.

```
data_Mn5VO8
_chemical_formula_sum 'Mn20 V4 O32'
_cell_length_a 19.862
_cell_length_b 6.312
_cell_length_c 5.511
_cell_angle_alpha 90.00
_cell_angle_beta 100.00
_cell_angle_gamma 90.00
_space_group_name_H-M_alt 'C 1 2/m 1'
_space_group_IT_number 12
loop_
_space_group_symop_operation_xyz
'x,y,z'
'-x,-y,-z'
'-x,y,-z'
'x,-y,z'
'x+1/2,y+1/2,z'
'-x+1/2,-y+1/2,-z'
'-x+1/2,y+1/2,-z'
'x+1/2,-y+1/2,z'
loop_
_atom_site_label
_atom_site_type_symbol
_atom_site_fract_x
_atom_site_fract_y
_atom_site_fract_z
Mn1 Mn 0.000 0.000 0.000
Mn2 Mn 0.000 0.249 0.500
Mn3 Mn 0.000 0.500 0.000
Mn4 Mn 0.132 0.244 0.255
Mn5 Mn 0.133 0.500 0.760
V1 V 0.213 0.000 0.804
O1 O 0.055 0.000 0.325
O2 O 0.058 0.277 0.895
O3 O 0.070 0.500 0.394
O4 O 0.184 0.000 0.085
O5 O 0.184 0.225 0.636
O6 O 0.194 0.500 0.134
```

Total magnetic moment in μB per cell: 96.00
V in Å³/cell: 680.37
Total DFT energy (no corrections) in Ry/atom: -0.5718



[10]
The following is a DFT calculation (GGA+U) of an optimized crystal structure of MnV2O5.

```
data_MnV2O5
_chemical_formula_sum 'Mn4 V8 O20'
_cell_length_a 3.849
_cell_length_b 9.750
_cell_length_c 10.269
_cell_angle_alpha 90.00
_cell_angle_beta 90.00
_cell_angle_gamma 90.00
_space_group_name_H-M_alt 'C m c m'
_space_group_IT_number 63
_space_group_name_Hall '-C 2c 2'
loop_
_atom_site_label
_atom_site_type_symbol
_atom_site_fract_x
_atom_site_fract_y
_atom_site_fract_z
Mn1 Mn 0.000 0.187 0.250
V1 V 0.000 0.139 0.568
O1 O 0.000 0.036 0.111
O2 O 0.000 0.217 0.750
O3 O 0.000 0.305 0.058
```

Total magnetic moment in μB per cell: 28.00
V in Å³/cell: 385.35
Total DFT energy (no corrections) in Ry/atom: -0.5753



[11]
The following is a DFT calculation (GGA+U) of an optimized crystal structure of MnV2O4.

```
data_MnV2O4
_chemical_formula_sum 'Mn4 V8 O16'
_cell_length_a 6.205
_cell_length_b 6.205
_cell_length_c 8.540
_cell_angle_alpha 90.00
_cell_angle_beta 90.00
_cell_angle_gamma 90.00
_space_group_name_H-M_alt 'I 41/a'
_space_group_IT_number 88
loop_
_space_group_symop_operation_xyz
'x,y,z'
'-x,-y,-z'
'-y+3/4,x+1/4,z+1/4'
'y+3/4,-x+1/4,-z+1/4'
'-x+1/2,-y,z+1/2'
'x+1/2,y,-z+1/2'
'y+3/4,-x+3/4,z+3/4'
'-y+3/4,x+3/4,-z+3/4'
'x+1/2,y+1/2,z+1/2'
'-x+1/2,-y+1/2,-z+1/2'
'-y+1/4,x+3/4,z+3/4'
'y+1/4,-x+3/4,-z+3/4'
'-x,-y+1/2,z'
'x,y+1/2,-z'
'y+1/4,-x+1/4,z+1/4'
'-y+1/4,x+1/4,-z+1/4'
loop_
_atom_site_label
_atom_site_type_symbol
_atom_site_fract_x
_atom_site_fract_y
_atom_site_fract_z
Mn1 Mn 0.000 0.250 0.125
V1 V 0.000 0.000 0.500
O1 O 0.007 0.472 0.739
```

Total magnetic moment in μB per cell: 36.00
V in Å³/cell: 328.78
Total DFT energy (no corrections) in Ry/atom: -0.5902
Energy above the most stable polymorph in this dataset in meV per atom: 0



[12]
The following is a DFT calculation (GGA+U) of an optimized crystal structure of MnV3O6.

```
data_MnV3O6
_chemical_formula_sum 'Mn4 V12 O24'
_cell_length_a 8.024
_cell_length_b 10.165
_cell_length_c 5.155
_cell_angle_alpha 90.00
_cell_angle_beta 90.00
_cell_angle_gamma 90.00
_space_group_name_H-M_alt 'C m c 21'
_space_group_IT_number 36
loop_
_space_group_symop_operation_xyz
'x,y,z'
'-x,-y,z+1/2'
'-x,y,z'
'x,-y,z+1/2'
'x+1/2,y+1/2,z'
'-x+1/2,-y+1/2,z+1/2'
'-x+1/2,y+1/2,z'
'x+1/2,-y+1/2,z+1/2'
loop_
_atom_site_label
_atom_site_type_symbol
_atom_site_fract_x
_atom_site_fract_y
_atom_site_fract_z
Mn1 Mn 0.000 0.147 0.000
V1 V 0.000 0.396 0.428
V2 V 0.210 0.123 0.474
O1 O 0.000 0.034 0.332
O2 O 0.000 0.221 0.649
O3 O 0.160 0.271 0.211
O4 O 0.164 0.475 0.706
```

Total magnetic moment in μB per cell: 40.00
V in Å³/cell: 420.43
Total DFT energy (no corrections) in Ry/atom: -0.5758